No. 1
Material: BaAl3Te
Method: DFT, PBE
State: optimized geometry

Cell lengths 6.087, 6.087, 6.087 Å; angles 90.00, 90.00, 90.00 degrees
Fractional positions:
Te 0.500 0.500 0.500
Ba 0.000 0.000 0.000
Al 0.000 0.500 0.000
Al 0.000 0.000 0.500
Al 0.500 0.000 0.000

---

No. 2
Material: Ba3AlTe
Method: DFT, PBE
State: optimized geometry

Cell lengths 6.553, 6.553, 6.553 Å; angles 90.00, 90.00, 90.00 degrees
Last column: magnetic moment on the atom in μB.
Fractional positions:
Te 0.000 0.000 0.000  -0.01
Ba 0.000 0.500 0.000  0.06
Ba 0.000 0.000 0.500  0.04
Ba 0.500 0.000 0.000  0.04
Al 0.500 0.500 0.500  0.05

---

No. 3
Material: BaAlTe2
Method: DFT, PBE
State: optimized geometry

Cell lengths 5.704, 5.704, 5.704 Å; angles 60.00, 60.00, 60.00 degrees
Fractional positions:
Te 0.000 0.000 0.000
Te 0.250 0.250 0.250
Ba 0.750 0.750 0.750
Al 0.500 0.500 0.500

---

No. 4
Material: BaAlTe2
Method: DFT, PBE
State: optimized geometry

Cell lengths 8.099, 8.099, 4.441 Å; angles 74.77, 74.77, 29.10 degrees
Fractional positions:
Te 0.022 0.022 0.965
Te 0.816 0.816 0.678
Ba 0.201 0.201 0.289
Al 0.461 0.461 0.569

---

No. 5
Material: Ba2Al2Te
Method: DFT, PBE
State: optimized geometry

Cell lengths 8.416, 8.416, 4.937 Å; angles 90.00, 90.00, 90.00 degrees
Fractional positions:
Te 0.000 0.000 0.000
Te 0.500 0.500 0.000
Ba 0.185 0.685 0.500
Ba 0.685 0.815 0.500
Ba 0.815 0.315 0.500
Ba 0.315 0.185 0.500
Al 0.391 0.891 0.000
Al 0.891 0.609 0.000
Al 0.609 0.109 0.000
Al 0.109 0.391 0.000

---

No. 6
Material: BaAlTe2
Method: DFT, PBE
State: optimized geometry

Cell lengths 9.227, 9.227, 9.227 Å; angles 33.56, 33.56, 33.56 degrees
Last column: magnetic moment on the atom in μB.
Fractional positions:
Te 0.100 0.100 0.100  0.10
Te 0.900 0.900 0.900  0.10
Ba 0.500 0.500 0.500  0.04
Al 0.000 0.000 0.000  0.10

---

No. 7
Material: BaAlTe2
Method: DFT, PBE
State: optimized geometry

Cell lengths 10.130, 10.130, 10.130 Å; angles 23.90, 23.90, 23.90 degrees
Last column: magnetic moment on the atom in μB.
Fractional positions:
Te 0.885 0.885 0.885  0.00
Te 0.115 0.115 0.115  0.00
Ba 0.000 0.000 0.000  0.20
Al 0.500 0.500 0.500  0.00

---

No. 8
Material: BaAlTe
Method: DFT, PBE
State: optimized geometry

Cell lengths 5.141, 5.141, 4.508 Å; angles 90.00, 90.00, 120.00 degrees
Fractional positions:
Te 0.333 0.667 0.833
Ba 0.667 0.333 0.333
Al 0.000 0.000 0.834

---

Number 1: VASP energy -9.84 eV/f.u., DOS at the Fermi energy 4.3 states/eV/f.u., raw formation energy 623 kJ/mol of formula units. Number 2: VASP energy -14.19 eV/f.u., DOS at the Fermi energy 7.3 states/eV/f.u., raw formation energy -149 kJ/mol of formula units. Number 3: VASP energy -13.20 eV/f.u., DOS at the Fermi energy 2.8 states/eV/f.u., raw formation energy -120 kJ/mol of formula units. Number 4: VASP energy -14.82 eV/f.u., DOS at the Fermi energy 1.0 states/eV/f.u., raw formation energy -277 kJ/mol of formula units. Number 5: VASP energy -16.23 eV/f.u., DOS at the Fermi energy 3.3 states/eV/f.u., raw formation energy -170 kJ/mol of formula units. Number 6: VASP energy -14.07 eV/f.u., DOS at the Fermi energy 1.7 states/eV/f.u., raw formation energy -205 kJ/mol of formula units. Number 7: VASP energy -13.72 eV/f.u., DOS at the Fermi energy 1.3 states/eV/f.u., raw formation energy -171 kJ/mol of formula units. Number 8: VASP energy -10.64 eV/f.u., DOS at the Fermi energy 1.9 states/eV/f.u., raw formation energy -176 kJ/mol of formula units.